Entry from the Alexandria database: RhPbAu4 after structural relaxation (PBE-GGA).

Results
Energy: -0.1394 hartree per atom
DFT formation energy: 236 meV/atom
Symmetry: No. 216
DOS(E_F): 5.029 states/eV per cell

Lattice parameters (Å, degrees): 5.5397 5.5397 5.5397 60.00 60.00 60.00
With the nearest neighbours (Å) after each atom.
Element x y z (fractional)
1 Pb 0.7500 0.7500 0.7500  12 Au 3.25, 4 Rh 3.39
2 Au 0.3746 0.3746 0.8762  6 Au 2.76-2.78
3 Au 0.8762 0.3746 0.3746  6 Au 2.76-2.78
4 Rh 0.0000 0.0000 0.0000  12 Au 3.25, 4 Pb 3.39
5 Au 0.3746 0.3746 0.3746  6 Au 2.76-2.78
6 Au 0.3746 0.8762 0.3746  6 Au 2.76-2.78